The following is a DFT calculation (PBE) of CuNi3N after structural relaxation.

Values from the calculation:
formation energy (no corrections): 1.605 eV per formula unit
SG: P6_3/mmc (194)
E: -56.32 eV for the cell shown

a = 3.1675 Å, b = 3.1675 Å, c = 13.6073 Å
α = 90.00°, β = 90.00°, γ = 120.00°
Last column: nearest neighbours and their distance in Å.
Positions (direct):
Ni1 0.0000 0.0000 0.2500  3 N 1.83
Ni2 0.0000 0.0000 0.7500  3 N 1.83
Ni3 0.3333 0.6667 0.8827  1 N 1.81
Ni4 0.3333 0.6667 0.6173  1 N 1.81
Ni5 0.6667 0.3333 0.3827  1 N 1.81
Ni6 0.6667 0.3333 0.1173  1 N 1.81
Cu1 0.0000 0.0000 0.0000  6 Ni 2.43
Cu2 0.0000 0.0000 0.5000  6 Ni 2.43
N1 0.3333 0.6667 0.7500  5 Ni 1.81-1.83
N2 0.6667 0.3333 0.2500  5 Ni 1.81-1.83

***

The following is a DFT calculation (PBE) of CuNi3N after structural relaxation.

Values from the calculation:
formation energy (no corrections): 0.534 eV per formula unit
SG: P-1 (2)
E: -58.46 eV for the cell shown

a = 5.3125 Å, b = 4.6099 Å, c = 4.5232 Å
α = 79.58°, β = 88.92°, γ = 72.70°
Last column: nearest neighbours and their distance in Å.
Positions (direct):
Ni1 0.4193 0.3273 0.1288  1 N 1.81
Ni2 0.2955 0.8326 0.3699  2 N 1.89-1.92
Ni3 0.0456 0.8370 0.8629  2 N 1.89-1.92
Ni4 0.1703 0.3351 0.6160  2 N 1.85
Ni5 0.6705 0.3349 0.6162  2 N 1.84
Ni6 0.9218 0.3419 0.1038  1 N 1.81
Cu1 0.7860 0.8296 0.3547  1 N 2.02
Cu2 0.5548 0.8401 0.8779  1 N 2.02
N1 0.9805 0.1075 0.4769  5 Ni 1.81-1.92, 1 Cu 2.02
N2 0.3606 0.5619 0.7558  5 Ni 1.81-1.92, 1 Cu 2.02

***

The following is a DFT calculation (PBE) of CuNi3N after structural relaxation.

Values from the calculation:
formation energy (no corrections): 0.716 eV per formula unit
SG: C2/c (15)
E: -116.20 eV for the cell shown

a = 10.9518 Å, b = 7.6288 Å, c = 7.6288 Å
α = 84.98°, β = 129.51°, γ = 50.49°
Last column: nearest neighbours and their distance in Å.
Positions (direct):
Ni1 0.2510 0.4959 0.3440  1 N 1.81
Ni2 0.2490 0.8440 0.9959  1 N 1.81
Ni3 0.7490 0.5041 0.6560  1 N 1.81
Ni4 0.7510 0.1560 0.0041  1 N 1.81
Ni5 0.2493 0.1591 0.3305  1 N 1.81
Ni6 0.2507 0.8305 0.6591  1 N 1.81
Ni7 0.7507 0.8409 0.6695  1 N 1.81
Ni8 0.7493 0.1695 0.3409  1 N 1.81
Ni9 0.7503 0.7976 0.0303  3 N 1.85-2.04
Ni10 0.7497 0.5303 0.2976  3 N 1.85-2.04
Ni11 0.2497 0.2024 0.9697  3 N 1.85-2.04
Ni12 0.2503 0.4697 0.7024  3 N 1.85-2.04
Cu1 0.7500 0.1728 0.6728  8 Ni 2.51-2.56, 4 Cu 2.51-2.53
Cu2 0.2500 0.8272 0.3272  8 Ni 2.51-2.56, 4 Cu 2.51-2.53
Cu3 0.7500 0.4796 0.9796  8 Ni 2.45-2.50, 2 Cu 2.51
Cu4 0.2500 0.5204 0.0204  8 Ni 2.45-2.50, 2 Cu 2.51
N1 0.2500 0.3072 0.5035  4 Ni 1.81-1.85
N2 0.2500 0.0035 0.8072  4 Ni 1.81-1.85
N3 0.7500 0.6928 0.4965  4 Ni 1.81-1.85
N4 0.7500 0.9965 0.1928  4 Ni 1.81-1.85